[1]
The following is a DFT calculation (PBE) of a geometry-optimized MgIr2Pb structure.

Output
Formation energy in meV per atom: 178

Cell and atoms, written as POSCAR:
```
MgIr2Pb
1.0
4.816 0.000 -0.004
3.864 2.875 -0.004
0.871 0.289 5.110
Mg Ir Pb
1 2 1
Direct
0.250 0.250 0.250 Mg
0.508 0.508 0.467 Ir
0.992 0.992 0.033 Ir
0.750 0.750 0.750 Pb
```

[2]
The following is a DFT calculation (PBE) of a geometry-optimized MgIrPb structure.

Output
Formation energy in meV per atom: 111

Cell and atoms, written as POSCAR:
```
MgIrPb
1.0
4.699 0.000 0.000
-2.350 4.070 0.000
0.000 0.000 3.145
Mg Ir Pb
1 1 1
Direct
0.667 0.333 0.332 Mg
0.000 0.000 0.835 Ir
0.333 0.667 0.833 Pb
```

[3]
The following is a DFT calculation (PBE) of a geometry-optimized MgIr2Pb structure.

Output
Formation energy in meV per atom: 318

Cell and atoms, written as POSCAR:
```
MgIr2Pb
1.0
-3.199 -0.981 3.219
0.742 -3.429 3.040
0.817 0.990 4.462
Mg Pb Ir
1 1 2
Direct
0.500 0.500 0.500 Mg
0.250 0.250 0.250 Pb
0.000 0.000 0.000 Ir
0.750 0.750 0.750 Ir
```

[4]
The following is a DFT calculation (PBE) of a geometry-optimized MgIr2Pb structure.

Output
Formation energy in meV per atom: 176

Cell and atoms, written as POSCAR:
```
MgIr2Pb
1.0
-3.058 -2.399 -3.397
-1.064 -4.886 1.280
-0.217 4.515 2.493
Ir Mg Pb
2 1 1
Direct
0.250 0.750 0.500 Ir
0.000 0.000 0.000 Ir
0.500 0.500 0.000 Mg
0.750 0.250 0.500 Pb
```

[5]
The following is a DFT calculation (PBE) of a geometry-optimized MgIrPdPb structure.

Output
Formation energy in meV per atom: -180

Cell and atoms, written as POSCAR:
```
MgIrPdPb
1.0
4.636 0.000 0.000
2.318 4.015 0.000
2.318 1.338 3.785
Pd Mg Pb Ir
1 1 1 1
Direct
0.500 0.500 0.500 Pd
0.250 0.250 0.250 Mg
0.750 0.750 0.750 Pb
0.000 0.000 0.000 Ir
```

[6]
The following is a DFT calculation (PBE) of a geometry-optimized PmMgIrPb structure.

Output
Formation energy in meV per atom: -254

Cell and atoms, written as POSCAR:
```
PmMgIrPb
1.0
-4.554 -0.380 -1.880
-3.674 -1.801 2.770
-3.590 2.998 1.595
Mg Pm Pb Ir
1 1 1 1
Direct
0.500 0.500 0.500 Mg
0.250 0.250 0.250 Pm
0.750 0.750 0.750 Pb
0.000 0.000 0.000 Ir
```

[7]
The following is a DFT calculation (PBE) of a geometry-optimized MgRe2IrPb structure.

Output
Relative energy among the computed polymorphs in kJ/mol of formula units: 455
Formation energy in meV per atom: 2599

Cell and atoms, written as POSCAR:
```
MgRe2IrPb
1.0
-4.846 0.658 1.216
-1.196 -4.087 -2.556
0.663 -2.787 4.146
Re Pb Ir Mg
2 1 1 1
Direct
0.000 0.000 0.500 Re
0.500 0.000 0.000 Re
0.000 0.000 0.000 Pb
0.000 0.500 0.000 Ir
0.500 0.500 0.500 Mg
```

[8]
The following is a DFT calculation (PBE) of a geometry-optimized MgRe2IrPb structure.

Output
Relative energy among the computed polymorphs in kJ/mol of formula units: 0
Formation energy in meV per atom: 1655

Cell and atoms, written as POSCAR:
```
MgRe2IrPb
1.0
4.830 0.000 0.000
0.000 5.160 0.000
0.000 0.000 4.830
Pb Ir Re Mg
1 1 2 1
Direct
0.000 0.500 0.000 Pb
0.000 0.000 0.000 Ir
0.500 0.000 0.000 Re
0.000 0.000 0.500 Re
0.500 0.500 0.500 Mg
```

M_tot (μB/cell)
0.00; 0.00; 0.00; 0.00; 0.00; 0.00; 4.30; 0.03